This record from the Alexandria database describes crystalline BaRe3Se at its relaxed geometry. The functional is PBE.

a = 4.766 Å, b = 4.766 Å, c = 4.766 Å
α = 90.00°, β = 90.00°, γ = 90.00°
Element x y z (fractional)
1 Re 0.500 0.000 0.000
2 Re 0.000 0.500 0.000
3 Re 0.000 0.000 0.500
4 Ba 0.500 0.500 0.500
5 Se 0.000 0.000 0.000

## Properties
Uncorrected formation energy ... 1573 meV/atom
Excess energy over the best structure of this formula in the dataset ... 0 meV/atom
Raw total energy ... -34.88 eV per formula unit

---

This record from the Alexandria database describes crystalline Nd2Tm3Tl2 at its relaxed geometry. The functional is PBE.

a = 4.664 Å, b = 6.340 Å, c = 8.418 Å
α = 108.85°, β = 90.00°, γ = 111.58°
Element x y z (fractional)
1 Tm 0.371 0.742 0.559
2 Tm 0.500 0.000 0.000
3 Tm 0.629 0.258 0.441
4 Tl 0.171 0.342 0.202
5 Tl 0.829 0.658 0.798
6 Nd 0.127 0.254 0.780
7 Nd 0.873 0.746 0.220

## Properties
Raw total energy ... -28.80 eV per formula unit
Formation energy from the elements ... -0.159 eV per atom